DFT (PBE) results for crystalline SrNdMgCu at its relaxed geometry.

- spin magnetization (μB per formula unit) = 0.00
- DFT formation energy (eV/atom) = 0.05

CIF file:
```
data_SrNdMgCu
_cell_length_a 7.698
_cell_length_b 7.698
_cell_length_c 7.698
_cell_angle_alpha 90.00
_cell_angle_beta 90.00
_cell_angle_gamma 90.00
_symmetry_space_group_name_H-M 'F -4 3 m'
_symmetry_Int_Tables_number 216
_symmetry_space_group_name_Hall 'F -4 2 3'
loop_
_atom_site_label
_atom_site_type_symbol
_atom_site_fract_x
_atom_site_fract_y
_atom_site_fract_z
Sr1 Sr 0.000 0.000 0.000
Nd1 Nd 0.000 0.000 0.500
Mg1 Mg 0.250 0.250 0.750
Cu1 Cu 0.250 0.250 0.250
```

DFT (PBE) results for crystalline BaZn2Au2 at its relaxed geometry.

- polymorph energy (0 for the lowest one) (kJ per mole of atoms) = 0.0
- spin magnetization (μB per formula unit) = 0.00
- DFT formation energy (eV/atom) = -0.50

CIF file:
```
data_BaZn2Au2
_cell_length_a 4.799
_cell_length_b 4.799
_cell_length_c 10.232
_cell_angle_alpha 90.00
_cell_angle_beta 90.00
_cell_angle_gamma 90.00
_symmetry_space_group_name_H-M 'P 4/n m m'
_symmetry_Int_Tables_number 129
loop_
_symmetry_equiv_pos_as_xyz
'x,y,z'
'-x,-y,-z'
'-y+1/2,x,z'
'y+1/2,-x,-z'
'-x+1/2,-y+1/2,z'
'x+1/2,y+1/2,-z'
'y,-x+1/2,z'
'-y,x+1/2,-z'
'x+1/2,-y,-z'
'-x+1/2,y,z'
'-y,-x,-z'
'y,x,z'
'-x,y+1/2,-z'
'x,-y+1/2,z'
'y+1/2,x+1/2,-z'
'-y+1/2,-x+1/2,z'
loop_
_atom_site_label
_atom_site_type_symbol
_atom_site_fract_x
_atom_site_fract_y
_atom_site_fract_z
Ba1 Ba 0.250 0.250 0.246
Zn1 Zn 0.250 0.250 0.881
Zn2 Zn 0.250 0.750 0.500
Au1 Au 0.250 0.250 0.621
Au2 Au 0.250 0.750 0.000
```

DFT (PBE) results for crystalline Na2SmCdBi2 at its relaxed geometry.

- spin magnetization (μB per formula unit) = 0.00
- DFT formation energy (eV/atom) = -0.43

CIF file:
```
data_Na2SmCdBi2
_cell_length_a 4.956
_cell_length_b 9.625
_cell_length_c 7.431
_cell_angle_alpha 90.00
_cell_angle_beta 90.00
_cell_angle_gamma 90.00
_symmetry_space_group_name_H-M 'P m c 21'
_symmetry_Int_Tables_number 26
_symmetry_space_group_name_Hall 'P 2c -2'
loop_
_atom_site_label
_atom_site_type_symbol
_atom_site_fract_x
_atom_site_fract_y
_atom_site_fract_z
Na1 Na 0.000 0.046 0.000
Na2 Na 0.500 0.156 0.294
Sm1 Sm 0.500 0.476 0.953
Cd1 Cd 0.000 0.329 0.639
Bi1 Bi 0.000 0.356 0.218
Bi2 Bi 0.500 0.176 0.738
```

DFT (PBE) results for crystalline Y2MnBeTe at its relaxed geometry.

- E_form (uncorrected) (meV/atom) = 28
- spin magnetization (μB per formula unit) = 0.00

CIF file:
```
data_Y2MnBeTe
_cell_length_a 5.171
_cell_length_b 5.171
_cell_length_c 4.210
_cell_angle_alpha 90.00
_cell_angle_beta 90.00
_cell_angle_gamma 90.00
_symmetry_space_group_name_H-M 'P 4/m m m'
_symmetry_Int_Tables_number 123
_symmetry_space_group_name_Hall '-P 4 2'
loop_
_atom_site_label
_atom_site_type_symbol
_atom_site_fract_x
_atom_site_fract_y
_atom_site_fract_z
Y1 Y 0.000 0.500 0.000
Mn1 Mn 0.000 0.000 0.000
Be1 Be 0.000 0.000 0.500
Te1 Te 0.500 0.500 0.500
```

DFT (PBE) results for crystalline ZrScC2S at its relaxed geometry.

- E_form (uncorrected) (meV/atom) = 1622
- spin magnetization (μB per formula unit) = 0.00

CIF file:
```
data_ZrScC2S
_cell_length_a 4.082
_cell_length_b 4.082
_cell_length_c 4.457
_cell_angle_alpha 90.00
_cell_angle_beta 90.00
_cell_angle_gamma 90.00
_symmetry_space_group_name_H-M 'P 4/m m m'
_symmetry_Int_Tables_number 123
_symmetry_space_group_name_Hall '-P 4 2'
loop_
_atom_site_label
_atom_site_type_symbol
_atom_site_fract_x
_atom_site_fract_y
_atom_site_fract_z
Zr1 Zr 0.000 0.000 0.000
Sc1 Sc 0.500 0.500 0.000
C1 C 0.000 0.500 0.500
S1 S 0.500 0.500 0.500
```

DFT (PBE) results for crystalline Ba2Sn3SbPd4 at its relaxed geometry.

- E_form (uncorrected) (meV/atom) = -730
- spin magnetization (μB per formula unit) = 0.00

CIF file:
```
data_Ba2Sn3SbPd4
_cell_length_a 4.806
_cell_length_b 4.806
_cell_length_c 10.882
_cell_angle_alpha 90.00
_cell_angle_beta 90.00
_cell_angle_gamma 90.00
_symmetry_space_group_name_H-M 'P -4 m 2'
_symmetry_Int_Tables_number 115
_symmetry_space_group_name_Hall 'P -4 -2'
loop_
_atom_site_label
_atom_site_type_symbol
_atom_site_fract_x
_atom_site_fract_y
_atom_site_fract_z
Ba1 Ba 0.000 0.500 0.248
Sn1 Sn 0.000 0.500 0.883
Sn2 Sn 0.500 0.500 0.500
Sb1 Sb 0.000 0.000 0.500
Pd1 Pd 0.000 0.000 0.000
Pd2 Pd 0.000 0.500 0.628
Pd3 Pd 0.500 0.500 0.000
```

DFT (PBE) results for crystalline Na3PmEr2O6 at its relaxed geometry.

- E_form (uncorrected) (meV/atom) = -2773
- spin magnetization (μB per formula unit) = 0.00

CIF file:
```
data_Na3PmEr2O6
_cell_length_a 5.967
_cell_length_b 10.340
_cell_length_c 5.932
_cell_angle_alpha 90.00
_cell_angle_beta 109.53
_cell_angle_gamma 90.00
_symmetry_space_group_name_H-M 'C 1 2/m 1'
_symmetry_Int_Tables_number 12
_symmetry_space_group_name_Hall '-C 2y'
loop_
_atom_site_label
_atom_site_type_symbol
_atom_site_fract_x
_atom_site_fract_y
_atom_site_fract_z
Na1 Na 0.000 0.000 0.000
Na2 Na 0.000 0.329 0.000
Pm1 Pm 0.000 0.500 0.500
Er1 Er 0.000 0.167 0.500
O1 O 0.226 0.000 0.712
O2 O 0.242 0.328 0.711
```

DFT (PBE) results for crystalline Cs3PmTh2Se6 at its relaxed geometry.

- E_form (uncorrected) (meV/atom) = -1593
- spin magnetization (μB per formula unit) = 0.00

CIF file:
```
data_Cs3PmTh2Se6
_cell_length_a 7.488
_cell_length_b 12.969
_cell_length_c 8.845
_cell_angle_alpha 90.00
_cell_angle_beta 106.38
_cell_angle_gamma 90.00
_symmetry_space_group_name_H-M 'C 1 2/m 1'
_symmetry_Int_Tables_number 12
_symmetry_space_group_name_Hall '-C 2y'
loop_
_atom_site_label
_atom_site_type_symbol
_atom_site_fract_x
_atom_site_fract_y
_atom_site_fract_z
Cs1 Cs 0.000 0.000 0.000
Cs2 Cs 0.000 0.334 0.000
Pm1 Pm 0.000 0.500 0.500
Th1 Th 0.000 0.167 0.500
Se1 Se 0.227 0.000 0.693
Se2 Se 0.233 0.331 0.694
```

What is the spin magnetization in the third record? 0.00 μB per formula unit